# SrLi5Ag7 | Alexandria via LeMat-Bulk | GGA-PBE | optimized geometry
data_SrLi5Ag7
_cell_length_a 5.322
_cell_length_b 9.606
_cell_length_c 9.486
_cell_angle_alpha 90.00
_cell_angle_beta 90.00
_cell_angle_gamma 90.00
_space_group_name_H-M_alt 'I m m 2'
_space_group_IT_number 44
loop_
_space_group_symop_operation_xyz
'x,y,z'
'-x,-y,z'
'-x,y,z'
'x,-y,z'
'x+1/2,y+1/2,z+1/2'
'-x+1/2,-y+1/2,z+1/2'
'-x+1/2,y+1/2,z+1/2'
'x+1/2,-y+1/2,z+1/2'
loop_
_atom_site_label
_atom_site_type_symbol
_atom_site_fract_x
_atom_site_fract_y
_atom_site_fract_z
_atom_site_occupancy
Sr1 Sr 0.000 0.000 0.000 1
Li1 Li 0.000 0.500 0.737 1
Li2 Li 0.248 0.254 0.255 1
Ag1 Ag 0.000 0.000 0.352 1
Ag2 Ag 0.000 0.000 0.650 1
Ag3 Ag 0.000 0.275 0.505 1
Ag4 Ag 0.000 0.353 0.003 1
Ag5 Ag 0.000 0.500 0.285 1
# Energy of formation from the pure elements ... -0.161 eV/atom
# N(E_F) ... 9.29 states/eV per cell

***

# K3Rb4BaBr8 | Alexandria via LeMat-Bulk | GGA-PBE | optimized geometry
data_K3Rb4BaBr8
_cell_length_a 9.8436
_cell_length_b 9.8436
_cell_length_c 24.4234
_cell_angle_alpha 90.00
_cell_angle_beta 90.00
_cell_angle_gamma 120.00
_space_group_name_H-M_alt 'R -3 m'
_space_group_IT_number 166
_space_group_name_Hall '-R 3 2"'
loop_
_atom_site_label
_atom_site_type_symbol
_atom_site_fract_x
_atom_site_fract_y
_atom_site_fract_z
_atom_site_occupancy
K1 K 0.0000 0.5000 0.0000 1
Rb1 Rb 0.0000 0.0000 0.5000 1
Rb2 Rb 0.0000 0.5000 0.5000 1
Ba1 Ba 0.0000 0.0000 0.0000 1
Br1 Br 0.0000 0.0000 0.2543 1
Br2 Br 0.0133 0.5066 0.7425 1
# N(E_F) ... 9.04 states/eV per cell
# Uncorrected formation energy ... -1.701 eV per atom

***

# ThGa2Pd9 | Alexandria via LeMat-Bulk | GGA-PBE | optimized geometry
data_ThGa2Pd9
_cell_length_a 4.107
_cell_length_b 4.107
_cell_length_c 11.645
_cell_angle_alpha 90.00
_cell_angle_beta 90.00
_cell_angle_gamma 90.00
_space_group_name_H-M_alt 'P 4/m m m'
_space_group_IT_number 123
_space_group_name_Hall '-P 4 2'
loop_
_atom_site_label
_atom_site_type_symbol
_atom_site_fract_x
_atom_site_fract_y
_atom_site_fract_z
_atom_site_occupancy
Th1 Th 0.000 0.000 0.000 1
Ga1 Ga 0.000 0.000 0.348 1
Pd1 Pd 0.000 0.500 0.182 1
Pd2 Pd 0.000 0.500 0.500 1
Pd3 Pd 0.500 0.500 0.000 1
Pd4 Pd 0.500 0.500 0.340 1
# Energy of formation from the pure elements ... -0.624 eV/atom
# N(E_F) ... 6.52 states/eV per cell

***

# CeTaMoC3 | Alexandria via LeMat-Bulk | GGA-PBE | optimized geometry
data_CeTaMoC3
_cell_length_a 5.629
_cell_length_b 3.291
_cell_length_c 8.442
_cell_angle_alpha 90.00
_cell_angle_beta 102.33
_cell_angle_gamma 90.00
_space_group_name_H-M_alt 'P 1 21/m 1'
_space_group_IT_number 11
loop_
_space_group_symop_operation_xyz
'x,y,z'
'-x,-y,-z'
'-x,y+1/2,-z'
'x,-y+1/2,z'
loop_
_atom_site_label
_atom_site_type_symbol
_atom_site_fract_x
_atom_site_fract_y
_atom_site_fract_z
_atom_site_occupancy
Ce1 Ce 0.143 0.250 0.194 1
Ta1 Ta 0.267 0.750 0.546 1
Mo1 Mo 0.378 0.250 0.863 1
C1 C 0.067 0.250 0.655 1
C2 C 0.263 0.750 0.981 1
C3 C 0.466 0.750 0.347 1
# Energy of formation from the pure elements ... -0.328 eV/atom
# N(E_F) ... 6.16 states/eV per cell